[1]
Entry from the Alexandria database: a geometry-optimized Tb6DySc2 structure (PBE).

The structure belongs to space group C2/c (No. 15); the cell edges are 13.413, 12.945 and 6.540 Å and the angles 90.00°, 104.79° and 90.00°. The asymmetric unit holds Tb at (0.027, 0.143, 0.000), Tb at (0.120, 0.412, 0.817), Tb at (0.244, 0.206, 0.734), Dy at (0.000, 0.360, 0.250) and Sc at (0.183, 0.028, 0.373).

The calculation puts the energy relative to the elements at 133 meV per atom.

---

[2]
Entry from the Alexandria database: a geometry-optimized Tb2DySc7 structure (PBE).

The structure belongs to space group Immm (No. 71); the cell edges are 3.475, 10.766 and 15.654 Å and the angles 90.00°, 90.00° and 90.00°. The asymmetric unit holds Tb at (0.000, 0.000, 0.183), Dy at (0.000, 0.500, 0.500), Sc at (0.000, 0.000, 0.500), Sc at (0.000, 0.243, 0.342) and Sc at (0.000, 0.500, 0.156).

The calculation puts the energy relative to the elements at 366 meV per atom.

---

[3]
Entry from the Alexandria database: a geometry-optimized Tb4Dy2Sc5 structure (PBE).

The structure belongs to space group C2/m (No. 12); the cell edges are 22.647, 3.362 and 8.424 Å and the angles 90.00°, 92.95° and 90.00°. The asymmetric unit holds Tb at (0.046, 0.000, 0.336), Tb at (0.229, 0.500, 0.822), Dy at (0.088, 0.500, 0.696), Sc at (0.000, 0.500, 0.000), Sc at (0.129, 0.000, 0.033) and Sc at (0.188, 0.000, 0.480).

The calculation puts the energy relative to the elements at 144 meV per atom.

---

Number 1: D(E_F) 1.120 states/eV/atom. Number 2: D(E_F) 1.892 states/eV/atom. Number 3: D(E_F) 1.666 states/eV/atom.